DFT (PBE) results for a geometry-optimized InCuTe2 structure.

Crystal system   tetragonal
V   100 Å³ per cell
Density of states at the Fermi level   0.614 states/eV per atom

Geometry as CIF:
```
data_InCuTe2
_chemical_formula_sum 'In1 Cu1 Te2'
_space_group_name_H-M_alt 'P 4/m m m'
_space_group_IT_number 123
_space_group_name_Hall '-P 4 2'
_cell_length_a 3.611
_cell_length_b 3.611
_cell_length_c 7.641
_cell_angle_alpha 90.00
_cell_angle_beta 90.00
_cell_angle_gamma 90.00
loop_
_atom_site_label
_atom_site_type_symbol
_atom_site_fract_x
_atom_site_fract_y
_atom_site_fract_z
In1 In 0.000 0.000 0.000
Cu1 Cu 0.000 0.000 0.500
Te1 Te 0.500 0.500 0.298
```



DFT (PBE) results for a geometry-optimized PmScCu4 structure.

Crystal system   orthorhombic
V   209 Å³ per cell
ΔE_f   -0.207 eV/atom
Density of states at the Fermi level   0.578 states/eV per atom

Geometry as CIF:
```
data_PmScCu4
_chemical_formula_sum 'Pm2 Sc2 Cu8'
_space_group_name_H-M_alt 'I m m 2'
_space_group_IT_number 44
_space_group_name_Hall 'I 2 -2'
_cell_length_a 4.257
_cell_length_b 6.726
_cell_length_c 7.293
_cell_angle_alpha 90.00
_cell_angle_beta 90.00
_cell_angle_gamma 90.00
loop_
_atom_site_label
_atom_site_type_symbol
_atom_site_fract_x
_atom_site_fract_y
_atom_site_fract_z
Pm1 Pm 0.000 0.000 0.000
Sc1 Sc 0.000 0.500 0.909
Cu1 Cu 0.000 0.191 0.610
Cu2 Cu 0.000 0.300 0.283
```



DFT (PBE) results for a geometry-optimized MgRhCl2 structure.

Crystal system   orthorhombic
V   173 Å³ per cell
Density of states at the Fermi level   0.390 states/eV per atom

Geometry as CIF:
```
data_MgRhCl2
_chemical_formula_sum 'Mg2 Rh2 Cl4'
_space_group_name_H-M_alt 'I m m 2'
_space_group_IT_number 44
_space_group_name_Hall 'I 2 -2'
_cell_length_a 3.194
_cell_length_b 3.766
_cell_length_c 14.400
_cell_angle_alpha 90.00
_cell_angle_beta 90.00
_cell_angle_gamma 90.00
loop_
_atom_site_label
_atom_site_type_symbol
_atom_site_fract_x
_atom_site_fract_y
_atom_site_fract_z
Mg1 Mg 0.000 0.000 0.000
Rh1 Rh 0.000 0.500 0.648
Cl1 Cl 0.000 0.000 0.420
Cl2 Cl 0.000 0.500 0.165
```



DFT (PBE) results for a geometry-optimized NaNdSiHg structure.

Crystal system   cubic
V   391 Å³ per cell
Density of states at the Fermi level   0.436 states/eV per atom

Geometry as CIF:
```
data_NaNdSiHg
_chemical_formula_sum 'Na4 Nd4 Si4 Hg4'
_space_group_name_H-M_alt 'F -4 3 m'
_space_group_IT_number 216
_space_group_name_Hall 'F -4 2 3'
_cell_length_a 7.312
_cell_length_b 7.312
_cell_length_c 7.312
_cell_angle_alpha 90.00
_cell_angle_beta 90.00
_cell_angle_gamma 90.00
loop_
_atom_site_label
_atom_site_type_symbol
_atom_site_fract_x
_atom_site_fract_y
_atom_site_fract_z
Na1 Na 0.000 0.000 0.000
Nd1 Nd 0.000 0.000 0.500
Si1 Si 0.250 0.250 0.250
Hg1 Hg 0.250 0.250 0.750
```



DFT (PBE) results for a geometry-optimized LuZnCo structure.

Crystal system   tetragonal
V   101 Å³ per cell
ΔE_f   -0.189 eV/atom
Density of states at the Fermi level   0.724 states/eV per atom

Geometry as CIF:
```
data_LuZnCo
_chemical_formula_sum 'Lu2 Zn2 Co2'
_space_group_name_H-M_alt 'I 4 m m'
_space_group_IT_number 107
_space_group_name_Hall 'I 4 -2'
_cell_length_a 3.281
_cell_length_b 3.281
_cell_length_c 9.343
_cell_angle_alpha 90.00
_cell_angle_beta 90.00
_cell_angle_gamma 90.00
loop_
_atom_site_label
_atom_site_type_symbol
_atom_site_fract_x
_atom_site_fract_y
_atom_site_fract_z
Lu1 Lu 0.000 0.000 0.000
Zn1 Zn 0.000 0.000 0.702
Co1 Co 0.000 0.000 0.326
```



DFT (PBE) results for a geometry-optimized CuHgRh2 structure.

Crystal system   orthorhombic
V   124 Å³ per cell
ΔE_f   0.245 eV/atom
Density of states at the Fermi level   1.630 states/eV per atom

Geometry as CIF:
```
data_CuHgRh2
_chemical_formula_sum 'Cu2 Hg2 Rh4'
_space_group_name_H-M_alt 'I m m 2'
_space_group_IT_number 44
_space_group_name_Hall 'I 2 -2'
_cell_length_a 2.952
_cell_length_b 4.635
_cell_length_c 9.089
_cell_angle_alpha 90.00
_cell_angle_beta 90.00
_cell_angle_gamma 90.00
loop_
_atom_site_label
_atom_site_type_symbol
_atom_site_fract_x
_atom_site_fract_y
_atom_site_fract_z
Cu1 Cu 0.000 0.000 0.000
Hg1 Hg 0.000 0.500 0.750
Rh1 Rh 0.000 0.000 0.519
Rh2 Rh 0.000 0.500 0.263
```



no.,total magnetic moment (μB per cell),total DFT energy (no corrections) (eV/f.u.)
1,0.00,-12.36
2,0.00,-28.71
3,0.00,-14.90
4,0.00,-12.93
5,1.35,-13.47
6,0.06,-18.12